{"formula": "NiBiS2O8", "functional": "GGA+U", "state": "optimized geometry", "m_tot_mub_per_atom": 0.251, "e_tot_ev_per_atom": -5.678, "vol_a3_per_atom": 13.75, "dos_at_fermi_per_ev_atom": 0.18, "lattice_angstrom": [[5.175, 0.000, 0.000], [-2.587, 4.482, 0.000], [0.000, 0.000, 7.116]], "species": ["Ni", "Bi", "S", "S", "O", "O", "O", "O", "O", "O", "O", "O"], "frac_coords": [[0.000, 0.000, 0.000], [0.000, 0.000, 0.500], [0.333, 0.667, 0.744], [0.667, 0.333, 0.256], [0.175, 0.351, 0.811], [0.175, 0.825, 0.811], [0.333, 0.667, 0.536], [0.351, 0.175, 0.189], [0.649, 0.825, 0.811], [0.667, 0.333, 0.464], [0.825, 0.175, 0.189], [0.825, 0.649, 0.189]]}